[1]
Rb2FeSnBr6, relaxed, DFT PBE; size of the total moment = 4.00 μB per cell
1.0
7.865 0.000 0.000
0.000 7.865 0.000
3.933 3.933 5.574
Br Sn Rb Fe
6 1 2 1
Cartesian
5.786 2.079 0.000
7.865 7.865 2.936
5.786 5.786 0.000
2.079 5.786 0.000
3.933 3.933 2.638
2.079 2.079 0.000
0.000 0.000 0.000
3.933 7.865 2.787
7.865 3.933 2.787
3.933 3.933 0.000

=====

[2]
Rb2SrFeBr6, relaxed, DFT PBE; polymorph energy (0 for the lowest one) = 1.86 kJ/mol of atoms; size of the total moment = 4.00 μB per cell
1.0
7.956 0.000 0.000
0.000 7.956 0.000
3.978 3.978 5.624
Fe Rb Br Sr
1 2 6 1
Cartesian
3.978 3.978 0.000
7.956 3.978 2.812
3.978 7.956 2.812
5.837 2.118 0.000
7.956 7.956 2.996
2.118 5.837 0.000
5.837 5.837 0.000
2.118 2.118 0.000
3.978 3.978 2.628
0.000 0.000 0.000

=====

[3]
Rb2SrFeBr6, relaxed, DFT PBE; polymorph energy (0 for the lowest one) = 0.00 kJ/mol of atoms; size of the total moment = 8.00 μB per cell
1.0
-4.862 -0.984 -6.031
-4.639 -4.663 4.501
-5.795 8.945 3.295
Br Rb Sr Fe
12 4 2 2
Cartesian
-4.384 1.780 -2.506
-10.543 6.468 0.199
-10.912 1.518 4.270
-7.739 2.845 -1.151
-2.180 -0.904 -0.006
-8.237 -1.227 -2.536
-7.059 4.524 4.300
-10.631 0.257 0.730
-4.752 -3.171 1.565
-13.115 4.202 1.770
-7.557 0.453 2.915
-4.665 3.041 1.034
-9.407 3.603 1.852
-9.396 5.505 -3.223
-5.889 -0.306 -0.088
-5.899 -2.207 4.987
-2.431 -0.492 -3.016
-5.217 2.141 3.898
-5.328 3.980 -1.368
-2.319 -2.331 2.250

=====

[4]
RbSrFe2Br8, relaxed, DFT PBE; size of the total moment = 9.00 μB per cell
1.0
-4.300 -0.925 5.439
4.944 -4.747 -1.396
6.722 5.179 6.195
Br Rb Fe Sr
8 1 2 1
Cartesian
8.463 1.612 6.966
-0.722 0.997 5.538
2.312 -0.297 3.327
6.288 1.931 3.793
5.054 -0.196 6.911
1.078 -2.424 6.445
8.088 -1.490 4.700
-1.097 -2.105 3.272
0.000 0.000 0.000
0.409 -0.945 4.661
6.957 0.452 5.577
3.361 2.589 3.098

=====

[5]
Rb2TaFeBr6, relaxed, DFT PBE; size of the total moment = 5.39 μB per cell
1.0
-0.506 7.440 -1.085
-1.328 0.982 7.352
4.311 4.695 4.013
Ta Br Fe Rb
1 6 1 2
Cartesian
0.000 0.000 0.000
-0.458 2.103 1.565
-0.711 5.828 1.021
0.779 8.664 6.707
-1.376 6.319 4.702
-1.123 2.595 5.246
1.698 4.453 3.574
-0.917 4.211 3.134
1.033 4.944 7.250
1.444 8.173 3.031

=====

[6]
RbTbFe2Br8, relaxed, DFT PBE; size of the total moment = 8.00 μB per cell
1.0
6.865 -0.401 0.085
2.811 6.276 0.085
0.687 0.417 10.150
Tb Br Fe Rb
1 8 2 1
Cartesian
0.000 0.000 0.000
4.499 5.021 8.167
5.863 1.271 2.153
3.093 1.878 10.140
7.024 4.265 4.410
7.269 4.413 0.180
3.832 4.616 2.153
6.530 1.676 8.167
3.338 2.027 5.910
4.186 2.541 8.048
6.176 3.750 2.272
0.343 0.208 5.075

=====

[7]
Rb2TiFeBr6, relaxed, DFT PBE; size of the total moment = 3.50 μB per cell
1.0
-4.929 -2.076 5.228
1.380 -7.184 -1.552
2.098 -4.671 5.472
Br Fe Rb Ti
6 1 2 1
Cartesian
-0.200 -5.904 0.147
0.143 -4.650 3.637
-2.659 -6.940 2.755
-3.348 -3.356 3.529
-1.593 -9.281 5.511
-0.889 -2.320 0.921
0.000 0.000 0.000
0.852 -8.243 2.879
-2.302 -5.689 6.269
-1.774 -4.630 1.838

=====

[8]
RbTlFe2Br6, relaxed, DFT PBE; size of the total moment = 16.00 μB per cell
1.0
-2.637 -0.839 9.722
3.688 -9.377 0.804
6.473 4.009 0.753
Br Fe Tl Rb
12 4 2 2
Cartesian
5.149 0.228 5.446
4.432 -2.839 7.873
2.375 -6.436 5.833
0.932 -0.017 6.317
3.808 -6.507 9.661
0.051 -1.127 1.845
6.592 -6.190 4.962
0.049 -3.732 9.247
3.716 0.299 1.618
7.473 -5.081 9.434
3.092 -3.369 3.406
7.475 -2.476 2.032
2.434 -1.845 1.667
2.924 -7.812 7.727
4.600 1.604 3.552
5.091 -4.363 9.613
6.021 -2.966 4.924
1.503 -3.241 6.355
4.170 -6.841 2.594
3.354 0.634 8.685

=====

no.,ΔE_f (raw) (meV per atom)
1,-1027
2,-1412
3,-1431
4,-1094
5,-810
6,-1083
7,-1073
8,-763